1.
Compound: MgPb2S2Br2
Source: Alexandria
Functional: PBE
Structure: relaxed

Values from the calculation:
Formation energy from raw total energies   -0.865 eV/atom
Size of the total moment   0.000 μB per formula unit

a b c (Å): 4.9187 4.9187 8.5910
angles (deg): 106.63 106.63 90.00
Fractional positions:
Mg1 0.0000 0.0000 0.0000
Pb1 0.3855 0.3855 0.7710
Pb2 0.6145 0.6145 0.2290
S1 0.0000 0.5000 0.0000
S2 0.5000 0.0000 0.0000
Br1 0.1809 0.1809 0.3619
Br2 0.8191 0.8191 0.6381

2.
Compound: VCrSb2Te
Source: Alexandria
Functional: PBE
Structure: relaxed

Values from the calculation:
Formation energy from raw total energies   0.615 eV/atom
Size of the total moment   5.108 μB per formula unit
Excess energy over the best structure of this formula in the dataset   0.000 eV/atom

a b c (Å): 5.1433 5.1433 5.1742
angles (deg): 90.00 90.00 90.00
Fractional positions:
Sb1 0.0000 0.5000 0.0000
Sb2 0.5000 0.0000 0.0000
V1 0.0000 0.0000 0.0000
Te1 0.0000 0.0000 0.5000
Cr1 0.5000 0.5000 0.5000

3.
Compound: SrCl
Source: Alexandria
Functional: PBE
Structure: relaxed

Values from the calculation:
Formation energy from raw total energies   -1.571 eV/atom
Size of the total moment   0.714 μB per formula unit

a b c (Å): 4.3086 4.3086 9.4538
angles (deg): 90.00 90.00 120.00
Fractional positions:
Sr1 0.3333 0.6667 0.6963
Sr2 0.6667 0.3333 0.1963
Cl1 0.3333 0.6667 0.3857
Cl2 0.6667 0.3333 0.8857

4.
Compound: Nb6SnW
Source: Alexandria
Functional: PBE
Structure: relaxed

Values from the calculation:
Size of the total moment   0.000 μB per formula unit
Excess energy over the best structure of this formula in the dataset   0.237 eV/atom

a b c (Å): 4.9796 6.0326 6.0326
angles (deg): 125.00 90.00 90.00
Fractional positions:
Nb1 0.5000 0.9337 0.5778
Nb2 0.5000 0.4222 0.0663
Nb3 0.5000 0.4407 0.5593
Nb4 0.0000 0.5605 0.9214
Nb5 0.0000 0.0786 0.4395
Nb6 0.0000 0.0689 0.9311
Sn1 0.5000 0.9215 0.0785
W1 0.0000 0.5739 0.4261

5.
Compound: K3Rb3LiI8
Source: Alexandria
Functional: PBE
Structure: relaxed

Values from the calculation:
Formation energy from raw total energies   -1.269 eV/atom
Size of the total moment   1.388 μB per formula unit

a b c (Å): 10.1631 10.1094 10.3097
angles (deg): 119.08 90.00 120.18
Fractional positions:
K1 0.0000 0.0000 0.0000
K2 0.0000 0.5000 0.0000
K3 0.5000 0.5000 0.0000
Rb1 0.5000 0.0000 0.5000
Rb2 0.5000 0.5000 0.5000
Rb3 0.0000 0.5000 0.5000
Li1 0.0000 0.0000 0.5000
I1 0.2465 0.4930 0.2398
I2 0.7535 0.5070 0.7602
I3 0.7859 0.5719 0.2743
I4 0.2141 0.4281 0.7257
I5 0.7841 0.9883 0.2737
I6 0.2159 0.0117 0.7263
I7 0.2042 0.9883 0.2737
I8 0.7958 0.0117 0.7263

6.
Compound: La2Ge3Pt9
Source: Alexandria
Functional: PBE
Structure: relaxed

Values from the calculation:
Final energy   -0.2329 hartree per atom
Size of the total moment   0.000 μB per formula unit

a b c (Å): 7.9441 7.9441 10.2243
angles (deg): 90.83 111.88 120.12
Fractional positions:
La1 0.3369 0.2425 0.7507
La2 0.6631 0.7575 0.2493
La3 0.9918 0.5862 0.7493
La4 0.0082 0.4138 0.2507
Ge1 0.5000 0.0000 0.0000
Ge2 0.5000 0.5000 0.5000
Ge3 0.8677 0.1846 0.5042
Ge4 0.1323 0.8154 0.4958
Ge5 0.1804 0.3635 0.9958
Ge6 0.8196 0.6365 0.0042
Pt1 0.4495 0.9166 0.7355
Pt2 0.5505 0.0834 0.2645
Pt3 0.6811 0.7140 0.7645
Pt4 0.3189 0.2860 0.2355
Pt5 0.4413 0.6445 0.9199
Pt6 0.5587 0.3555 0.0801
Pt7 0.2246 0.5215 0.5801
Pt8 0.7754 0.4785 0.4199
Pt9 0.8812 0.1312 0.7500
Pt10 0.1188 0.8688 0.2500
Pt11 0.1331 0.9892 0.9406
Pt12 0.8669 0.0108 0.0594
Pt13 0.5486 0.1925 0.5594
Pt14 0.4514 0.8075 0.4406
Pt15 0.8761 0.8592 0.5760
Pt16 0.1239 0.1408 0.4240
Pt17 0.7833 0.3001 0.9240
Pt18 0.2167 0.6999 0.0760

7.
Compound: Ho2Er3Ga4
Source: Alexandria
Functional: PBE
Structure: relaxed

Values from the calculation:
Final energy   -0.1638 hartree per atom
Size of the total moment   0.000 μB per formula unit

a b c (Å): 7.2875 7.8848 7.9349
angles (deg): 90.00 90.00 106.39
Fractional positions:
Ho1 0.5713 0.1873 0.3135
Ho2 0.9287 0.8127 0.8135
Ho3 0.4287 0.8127 0.6865
Ho4 0.0713 0.1873 0.1865
Er1 0.0000 0.5000 0.5000
Er2 0.5000 0.5000 0.0000
Er3 0.7521 0.2381 0.8260
Er4 0.7479 0.7619 0.3260
Er5 0.2479 0.7619 0.1740
Er6 0.2521 0.2381 0.6740
Ga1 0.8608 0.0815 0.5289
Ga2 0.6392 0.9185 0.0289
Ga3 0.1392 0.9185 0.4711
Ga4 0.3608 0.0815 0.9711
Ga5 0.8792 0.4856 0.1266
Ga6 0.6208 0.5144 0.6266
Ga7 0.1208 0.5144 0.8734
Ga8 0.3792 0.4856 0.3734

8.
Compound: BeAg2Bi
Source: Alexandria
Functional: PBE
Structure: relaxed

Values from the calculation:
Size of the total moment   0.000 μB per formula unit
Excess energy over the best structure of this formula in the dataset   0.000 eV/atom

a b c (Å): 4.1772 4.1772 9.8701
angles (deg): 77.78 77.78 90.00
Fractional positions:
Be1 0.5000 0.5000 0.0000
Be2 0.2500 0.7500 0.5000
Bi1 0.0000 0.0000 0.0000
Bi2 0.7500 0.2500 0.5000
Ag1 0.5905 0.1250 0.2500
Ag2 0.1595 0.6250 0.2500
Ag3 0.3750 0.4095 0.7500
Ag4 0.8750 0.8405 0.7500